No. 1
DFT (PBE+U) results for crystalline Tl2SbMoO6 at its relaxed geometry.

Calculated values
total energy	-56.92	eV/f.u.
spin magnetization	0.000	μB per formula unit
space group	C2/m (12)

Cell: 5.8667 5.8667 5.8644 Å, 59.98 59.98 90.03°
Fractional positions:
Tl1 0.2500 0.7501 0.4999
Tl2 0.7500 0.2499 0.5000
O1 0.7372 0.2627 0.0000
O2 0.7381 0.7380 0.9988
O3 0.2618 0.2618 0.4758
O4 0.2619 0.2620 0.0012
O5 0.7382 0.7382 0.5242
O6 0.2628 0.7373 0.0000
Mo1 0.5000 0.5000 0.0000
Sb1 0.0000 0.0000 0.0000


No. 2
DFT (PBE+U) results for crystalline TmSbMoO6 at its relaxed geometry.

Calculated values
total energy	-62.60	eV/f.u.
spin magnetization	0.000	μB per formula unit
space group	P-31c (163)

Cell: 5.4895 5.4895 9.0852 Å, 90.00 90.00 120.00°
Fractional positions:
O1 0.6973 0.7058 0.1208
O2 0.7058 0.6973 0.6208
O3 0.0085 0.7058 0.3792
O4 0.7058 0.0085 0.8792
O5 0.9915 0.6973 0.8792
O6 0.2942 0.3027 0.3792
O7 0.3027 0.2942 0.8792
O8 0.6973 0.9915 0.3792
O9 0.2942 0.9915 0.1208
O10 0.3027 0.0085 0.6208
O11 0.9915 0.2942 0.6208
O12 0.0085 0.3027 0.1208
Sb1 0.3333 0.6667 0.7500
Sb2 0.6667 0.3333 0.2500
Tm1 0.6667 0.3333 0.7500
Tm2 0.3333 0.6667 0.2500
Mo1 0.0000 0.0000 0.5000
Mo2 0.0000 0.0000 0.0000


No. 3
DFT (PBE+U) results for crystalline V2SbMoO6 at its relaxed geometry.

Calculated values
total energy	-72.53	eV/f.u.
spin magnetization	7.000	μB per formula unit
space group	P1 (1)

Cell: 5.4831 5.4404 5.6884 Å, 61.66 60.79 60.44°
Site moments in Bohr magnetons follow the coordinates.
Fractional positions:
V1 0.5180 0.5129 0.4527  1.95
V2 0.0198 0.0141 0.9435  1.97
O1 0.1374 0.3940 0.7483  -0.01
O2 0.2311 0.8694 0.2380  -0.01
O3 0.8554 0.6646 0.2472  -0.02
O4 0.3864 0.7400 0.7396  -0.02
O5 0.7244 0.1329 0.7533  0.00
O6 0.6698 0.2282 0.2491  -0.03
Mo1 0.8139 0.8138 0.5579  2.73
Sb1 0.3054 0.2916 0.0854  0.02


No. 4
DFT (PBE+U) results for crystalline YSbMo2O9 at its relaxed geometry.

Calculated values
total energy	-95.04	eV/f.u.
spin magnetization	0.000	μB per formula unit
space group	C2/c (15)

Cell: 9.7265 9.7265 10.8781 Å, 111.85 111.85 95.43°
Fractional positions:
O1 0.9796 0.3069 0.0023
O2 0.2213 0.4064 0.5790
O3 0.7909 0.6344 0.7028
O4 0.7808 0.9579 0.8284
O5 0.5936 0.7787 0.9210
O6 0.5417 0.4230 0.4003
O7 0.4064 0.2213 0.0790
O8 0.9067 0.4443 0.2487
O9 0.1440 0.6218 0.2268
O10 0.0933 0.5557 0.7513
O11 0.0691 0.0971 0.3972
O12 0.6218 0.1440 0.7268
O13 0.8560 0.3782 0.7732
O14 0.5770 0.4583 0.0997
O15 0.3069 0.9796 0.5023
O16 0.3782 0.8560 0.2732
O17 0.1294 0.7028 0.5693
O18 0.9309 0.9029 0.6028
O19 0.2192 0.0421 0.1716
O20 0.8706 0.2972 0.4307
O21 0.4443 0.9067 0.7487
O22 0.0421 0.2192 0.6716
O23 0.7787 0.5936 0.4210
O24 0.0971 0.0691 0.8972
O25 0.4583 0.5770 0.5997
O26 0.3656 0.2091 0.7972
O27 0.7028 0.1294 0.0693
O28 0.9579 0.7808 0.3284
O29 0.5557 0.0933 0.2513
O30 0.0204 0.6931 0.9977
O31 0.6931 0.0204 0.4977
O32 0.6344 0.7909 0.2028
O33 0.4230 0.5417 0.9003
O34 0.2091 0.3656 0.2972
O35 0.9029 0.9309 0.1028
O36 0.2972 0.8706 0.9307
Mo1 0.2593 0.0465 0.0244
Mo2 0.4349 0.0578 0.6931
Mo3 0.7407 0.9535 0.9756
Mo4 0.9422 0.5651 0.8069
Mo5 0.0578 0.4349 0.1931
Mo6 0.0465 0.2593 0.5244
Mo7 0.5651 0.9422 0.3069
Mo8 0.9535 0.7407 0.4756
Y1 0.3283 0.6717 0.7500
Y2 0.1255 0.8745 0.2500
Y3 0.8745 0.1255 0.7500
Y4 0.6717 0.3283 0.2500
Sb1 0.6503 0.6206 0.0362
Sb2 0.3794 0.3497 0.4638
Sb3 0.3497 0.3794 0.9638
Sb4 0.6206 0.6503 0.5362


No. 5
DFT (PBE+U) results for crystalline Zn2SbMoO6 at its relaxed geometry.

Calculated values
total energy	-57.18	eV/f.u.
spin magnetization	1.931	μB per formula unit
space group	P2_1/m (11)

Cell: 8.0637 5.3776 5.4026 Å, 89.26 90.00 90.00°
Site moments in Bohr magnetons follow the coordinates.
Fractional positions:
O1 0.4304 0.6549 0.6723  -0.02
O2 0.0696 0.6549 0.6723  -0.02
O3 0.2500 0.3779 0.1008  0.01
O4 0.7500 0.8855 0.4030  0.00
O5 0.5696 0.3451 0.3277  -0.02
O6 0.7500 0.6221 0.8992  0.01
O7 0.2500 0.1145 0.5970  0.00
O8 0.5721 0.1718 0.8310  0.00
O9 0.9279 0.1718 0.8310  0.00
O10 0.4279 0.8282 0.1690  0.00
O11 0.9304 0.3451 0.3277  -0.02
O12 0.0721 0.8282 0.1690  0.00
Zn1 0.7500 0.9796 0.0151  0.00
Zn2 0.2500 0.4907 0.4683  0.01
Zn3 0.2500 0.0204 0.9849  0.00
Zn4 0.7500 0.5093 0.5317  0.01
Sb1 0.0000 0.0000 0.5000  -0.01
Sb2 0.5000 0.0000 0.5000  -0.01
Mo1 0.0000 0.5000 0.0000  1.89
Mo2 0.5000 0.5000 0.0000  1.89


No. 6
DFT (PBE+U) results for crystalline ZnSbMoO2 at its relaxed geometry.

Calculated values
total energy	-21.84	eV/f.u.
spin magnetization	4.872	μB per formula unit
space group	P4/mmm (123)

Cell: 4.1489 5.2358 4.1489 Å, 90.00 90.00 90.00°
Site moments in Bohr magnetons follow the coordinates.
Fractional positions:
O1 0.5000 0.0000 0.0000  0.05
O2 0.0000 0.0000 0.5000  0.05
Zn1 0.0000 0.5000 0.0000  0.05
Sb1 0.0000 0.0000 0.0000  0.02
Mo1 0.5000 0.5000 0.5000  4.02


Number 5 is which compound?
Zn2SbMoO6


Which value of total energy does entry 1 give?
-56.92 eV/f.u.